1.
Entry from Alexandria via LeMat-Bulk: a geometry-optimized Sr3LiPb6 structure (PBE).

Lattice parameters (Å, degrees): 13.1042 13.1042 13.2168 90.00 90.00 120.00
With the nearest neighbours (Å) after each atom.
Space group R-3c (No. 167, hexagonal axes)
Inequivalent atoms, fractional coordinates:
Sr 0.0000 0.4308 0.2500  8 Pb 3.45-3.75
Li 0.0000 0.0000 0.0000  6 Pb 3.06
Pb 0.0632 0.2004 0.3498  2 Pb 3.00-3.20, 1 Li 3.06

---

2.
Entry from Alexandria via LeMat-Bulk: a geometry-optimized Sr2LiPb structure (PBE).

Lattice parameters (Å, degrees): 8.2423 8.2595 4.0843 90.00 90.00 90.00
With the nearest neighbours (Å) after each atom.
Space group Cmmm (No. 65)
Inequivalent atoms, fractional coordinates:
Sr 0.2500 0.2500 0.0000  4 Li 3.56, 4 Pb 3.56
Li 0.0000 0.0000 0.5000  8 Sr 3.56
Pb 0.0000 0.5000 0.5000  8 Sr 3.56

---

3.
Entry from Alexandria via LeMat-Bulk: a geometry-optimized SrLi4Pb5 structure (PBE).

Lattice parameters (Å, degrees): 3.6492 3.6492 18.7390 90.00 90.00 90.00
With the nearest neighbours (Å) after each atom.
Space group P4/mmm (No. 123)
Inequivalent atoms, fractional coordinates:
Sr 0.0000 0.0000 0.0000  8 Pb 3.56, 4 Sr 3.65
Li 0.0000 0.0000 0.2211  8 Pb 3.09-3.11
Li 0.0000 0.0000 0.4078  8 Pb 3.11-3.12, 1 Li 3.46
Pb 0.5000 0.5000 0.1306  4 Li 3.09, 1 Pb 3.43
Pb 0.5000 0.5000 0.3139  8 Li 3.11-3.12, 1 Pb 3.43
Pb 0.5000 0.5000 0.5000  8 Li 3.11

---

4.
Entry from Alexandria via LeMat-Bulk: a geometry-optimized SrLi2Pb2 structure (PBE).

Lattice parameters (Å, degrees): 8.6250 8.6250 3.4718 90.00 90.00 90.00
With the nearest neighbours (Å) after each atom.
Space group P4/mbm (No. 127)
Inequivalent atoms, fractional coordinates:
Sr 0.0000 0.0000 0.0000  4 Li 3.46, 2 Sr 3.47, 8 Pb 3.63
Li 0.1166 0.3834 0.0000  1 Li 2.84, 6 Pb 3.08-3.10
Pb 0.1749 0.6749 0.5000  6 Li 3.08-3.10

---

5.
Entry from Alexandria via LeMat-Bulk: a geometry-optimized Sr2Li6Pb9 structure (PBE).

Lattice parameters (Å, degrees): 6.5593 6.5593 13.5487 90.00 90.00 120.00
With the nearest neighbours (Å) after each atom.
Space group P6/mmm (No. 191)
Inequivalent atoms, fractional coordinates:
Sr 0.0000 0.0000 0.1660  6 Li 3.79, 12 Pb 3.97-3.98
Li 0.3333 0.6667 0.1645  6 Pb 2.92-2.94
Li 0.3333 0.6667 0.5000  6 Pb 2.97
Pb 0.0000 0.5000 0.0000  4 Li 2.92
Pb 0.0000 0.5000 0.3308  4 Li 2.94-2.97, 4 Pb 3.28

---

6.
Entry from Alexandria via LeMat-Bulk: a geometry-optimized Sr2Li2Pb structure (PBE).

Lattice parameters (Å, degrees): 3.9884 3.9884 21.2244 90.00 90.00 90.00
With the nearest neighbours (Å) after each atom.
Space group I4/mmm (No. 139)
Inequivalent atoms, fractional coordinates:
Sr 0.0000 0.0000 0.1006  4 Pb 3.54, 4 Li 3.75
Li 0.0000 0.5000 0.2500  4 Li 2.82
Pb 0.0000 0.0000 0.5000  8 Sr 3.54

---

7.
Entry from Alexandria via LeMat-Bulk: a geometry-optimized Sr2Li4Pb3 structure (PBE).

Lattice parameters (Å, degrees): 6.8562 17.8799 7.7264 90.00 90.00 90.00
With the nearest neighbours (Å) after each atom.
Space group Cmce (No. 64)
Inequivalent atoms, fractional coordinates:
Sr 0.0000 0.1092 0.0948  5 Li 3.26-3.65, 2 Pb 3.45
Li 0.0000 0.1624 0.5088  5 Pb 2.87-3.18, 2 Li 3.05
Li 0.2500 0.0669 0.7500  3 Pb 2.85-3.05, 2 Li 3.05
Pb 0.0000 0.0000 0.5000  6 Li 2.85-2.90
Pb 0.2500 0.2377 0.7500  5 Li 2.87-3.18

---

8.
Entry from Alexandria via LeMat-Bulk: a geometry-optimized SrLi2Pb2 structure (PBE).

Lattice parameters (Å, degrees): 4.9625 7.6581 7.4976 90.00 90.00 90.00
With the nearest neighbours (Å) after each atom.
Space group Cmmm (No. 65)
Inequivalent atoms, fractional coordinates:
Sr 0.0000 0.0000 0.0000  4 Pb 3.35
Li 0.0000 0.1654 0.5000  3 Li 2.53-2.80
Pb 0.0000 0.5000 0.3000  6 Li 2.97-3.16, 1 Pb 3.00

---

| no. | E_form (eV/atom) |
| --- | --- |
| 1 | -0.342 |
| 2 | -0.342 |
| 3 | -0.299 |
| 4 | -0.358 |
| 5 | -0.198 |
| 6 | -0.163 |
| 7 | -0.357 |
| 8 | -0.317 |